No. 1
Compound: Er5HgRu4
Source: Alexandria
Functional: PBE-GGA
Structure: relaxed

Geometry as POSCAR:
```
Er5HgRu4
1.0
3.3969 0.0000 0.0000
0.0000 3.3969 0.0000
0.0000 0.0000 17.6352
Er Hg Ru
5 1 4
Direct
0.0000 0.0000 0.0000 Er
0.0000 0.0000 0.1889 Er
0.0000 0.0000 0.3779 Er
0.0000 0.0000 0.6221 Er
0.0000 0.0000 0.8111 Er
0.5000 0.5000 0.5000 Hg
0.5000 0.5000 0.0958 Ru
0.5000 0.5000 0.2891 Ru
0.5000 0.5000 0.7109 Ru
0.5000 0.5000 0.9042 Ru
```

The space-group type is No. 123. The crystal system is tetragonal.

***

No. 2
Compound: Er7HgRu4
Source: Alexandria
Functional: PBE-GGA
Structure: relaxed

Geometry as POSCAR:
```
Er7HgRu4
1.0
6.7884 -2.7029 0.0000
6.7884 2.7029 0.0000
-5.7036 0.0000 7.6825
Er Hg Ru
7 1 4
Direct
0.0000 0.0000 0.0000 Er
0.1811 0.1811 0.6316 Er
0.2847 0.2847 0.1235 Er
0.4264 0.4264 0.6309 Er
0.5736 0.5736 0.3691 Er
0.7153 0.7153 0.8765 Er
0.8189 0.8189 0.3684 Er
0.5000 0.5000 0.0000 Hg
0.0649 0.0649 0.7756 Ru
0.2004 0.2004 0.3508 Ru
0.7996 0.7996 0.6492 Ru
0.9351 0.9351 0.2244 Ru
```

The space-group type is No. 12. The crystal system is monoclinic.

***

No. 3
Compound: Er8HgRu2
Source: Alexandria
Functional: PBE-GGA
Structure: relaxed

Geometry as POSCAR:
```
Er8HgRu2
1.0
-2.5966 7.8677 3.4270
2.5966 -7.8677 3.4270
2.5966 7.8677 -3.4270
Er Hg Ru
8 1 2
Direct
0.0000 0.0000 0.0000 Er
0.2584 0.5938 0.6646 Er
0.3450 0.4554 0.8896 Er
0.4199 0.1315 0.2884 Er
0.5658 0.4554 0.1104 Er
0.7166 0.2166 0.5000 Er
0.8431 0.1315 0.7116 Er
0.9292 0.5938 0.3354 Er
0.2934 0.7934 0.5000 Hg
0.6534 0.8240 0.8294 Ru
0.9946 0.8240 0.1706 Ru
```

The space-group type is No. 44. The crystal system is orthorhombic.

***

| no. | ΔH_f (0 K) (meV/atom) | spin magnetization (μB/f.u.) |
| --- | --- | --- |
| 1 | -448 | 0.0 |
| 2 | -164 | 0.0 |
| 3 | -288 | 0.0 |